(w)
Ag | SCAN | PBEsol geometry

Cell: 4.0438 4.0438 4.0438 Å, 90.00 90.00 90.00°
Last column: nearest neighbours and their distance in Å.
Space group Fm-3m (No. 225)
Unique sites:
Ag1 0.0000 0.0000 0.0000 x4  12 Ag 2.86


(x)
Ag | SCAN | PBEsol geometry

Cell: 2.8493 2.8493 21.1949 Å, 90.00 90.00 120.00°
Last column: nearest neighbours and their distance in Å.
Space group R-3m (No. 166, hexagonal axes)
Unique sites:
Ag1 0.0000 0.0000 0.0000 x3  12 Ag 2.85-2.87
Ag2 0.0000 0.0000 0.2223 x6  12 Ag 2.85-2.88


(y)
Ag | SCAN | PBEsol geometry

Cell: 3.2186 3.2186 3.2186 Å, 90.00 90.00 90.00°
Last column: nearest neighbours and their distance in Å.
Space group Im-3m (No. 229)
Unique sites:
Ag1 0.0000 0.0000 0.0000 x2  8 Ag 2.79


Stability ranking, top entry: (w); the second entry is 0.7 kJ/mol of atoms less favorable.


(w)
Ag | SCAN | PBEsol geometry

Cell: 3.2184 3.2184 3.2184 Å, 90.00 90.00 90.00°
Last column: nearest neighbours and their distance in Å.
Space group Im-3m (No. 229)
Unique sites:
Ag1 0.0000 0.0000 0.0000 x2  8 Ag 2.79


(x)
Ag | SCAN | PBEsol geometry

Cell: 6.0166 6.0166 6.0166 Å, 90.00 90.00 90.00°
Last column: nearest neighbours and their distance in Å.
Space group Fd-3m (No. 227, origin choice 2)
Unique sites:
Ag1 0.1250 0.1250 0.1250 x8  4 Ag 2.61


Stability ranking, top entry: (w); the second entry is 82.6 kJ/mol of atoms less favorable.


(w)
Al5Ag | SCAN | PBEsol geometry

Cell: 2.8698 2.8698 11.7872 Å, 90.00 90.00 90.00°
Last column: nearest neighbours and their distance in Å.
Space group P4/mmm (No. 123)
Unique sites:
Al1 0.0000 0.0000 0.0000 x1  12 Al 2.82-2.87
Al2 0.0000 0.0000 0.3343 x2  4 Ag 2.82, 8 Al 2.84-2.87
Al3 0.5000 0.5000 0.1660 x2  12 Al 2.82-2.87
Ag1 0.5000 0.5000 0.5000 x1  8 Al 2.82, 4 Ag 2.87


(x)
Al5Ag | SCAN | PBEsol geometry

Cell: 2.8661 2.8661 13.6677 Å, 90.00 90.00 120.00°
Last column: nearest neighbours and their distance in Å.
Space group P-3m1 (No. 164)
Unique sites:
Al1 0.0000 0.0000 0.0000 x1  12 Al 2.84-2.87
Al2 0.3333 0.6667 0.1687 x2  12 Al 2.82-2.87
Al3 0.3333 0.6667 0.6641 x2  3 Ag 2.79, 9 Al 2.82-2.87
Ag1 0.0000 0.0000 0.5000 x1  6 Al 2.79, 6 Ag 2.87


(y)
Al5Ag | SCAN | PBEsol geometry

Cell: 2.8623 4.0432 8.4317 Å, 90.00 90.00 90.00°
Last column: nearest neighbours and their distance in Å.
Space group Pmmm (No. 47)
Unique sites:
Al1 0.0000 0.0000 0.0000 x1  12 Al 2.80-2.86
Al2 0.0000 0.0000 0.3319 x2  8 Al 2.80-2.86, 4 Ag 2.85
Al3 0.5000 0.5000 0.1655 x2  11 Al 2.79-2.86, 1 Ag 2.82
Ag1 0.5000 0.5000 0.5000 x1  10 Al 2.82-2.85, 2 Ag 2.86


(z)
Al5Ag | SCAN | PBEsol geometry

Cell: 4.0400 12.0137 4.0314 Å, 90.00 90.00 90.00°
Last column: nearest neighbours and their distance in Å.
Space group Cmmm (No. 65)
Unique sites:
Al1 0.0000 0.0000 0.0000 x2  8 Al 2.83-2.85, 4 Ag 2.85
Al2 0.0000 0.1651 0.5000 x4  10 Al 2.83-2.87, 2 Ag 2.83
Al3 0.0000 0.3331 0.0000 x4  10 Al 2.84-2.85, 2 Ag 2.84
Ag1 0.0000 0.5000 0.5000 x2  12 Al 2.83-2.85


Stability ranking, top entry: (x); the second entry is 1.7 kJ/mol of atoms less favorable.


(w)
Al5Ag | SCAN | PBEsol geometry

Cell: 9.5264 2.8273 7.9652 Å, 90.00 114.53 90.00°
Last column: nearest neighbours and their distance in Å.
Space group C2/m (No. 12)
Unique sites:
Al1 0.0000 0.0000 0.0000 x2  12 Al 2.83-2.87
Al2 0.1616 0.5000 0.3337 x4  3 Ag 2.80-2.93, 9 Al 2.83-2.87
Al3 0.1694 0.5000 0.8321 x4  10 Al 2.83-2.87, 2 Ag 2.84
Ag1 0.0000 0.0000 0.5000 x2  10 Al 2.80-2.93, 2 Ag 2.83


(x)
Al5Ag | SCAN | PBEsol geometry

Cell: 4.9409 4.9409 4.6785 Å, 90.00 90.00 120.00°
Last column: nearest neighbours and their distance in Å.
Space group P-62m (No. 189)
Unique sites:
Al1 0.0000 0.3333 0.0000 x3  10 Al 2.85-2.86, 2 Ag 2.86
Al2 0.3333 0.6667 0.5000 x2  3 Ag 2.85, 9 Al 2.85-2.86
Ag1 0.0000 0.0000 0.5000 x1  12 Al 2.85-2.86


Stability ranking, top entry: (w); the second entry is 6.5 kJ/mol of atoms less favorable.


(w)
Al5Ag3 | SCAN | PBEsol geometry

Cell: 3.9603 4.0528 16.2707 Å, 90.00 90.00 90.00°
Last column: nearest neighbours and their distance in Å.
Space group Immm (No. 71)
Unique sites:
Al1 0.0000 0.0000 0.0000 x2  8 Ag 2.83-2.88, 4 Al 2.84
Al2 0.0000 0.0000 0.2491 x4  4 Ag 2.79-2.84, 8 Al 2.83-2.89
Al3 0.0000 0.5000 0.1224 x4  6 Ag 2.81-2.83, 6 Al 2.84-2.89
Ag1 0.0000 0.0000 0.5000 x2  8 Al 2.81-2.83, 4 Ag 2.91
Ag2 0.0000 0.5000 0.3716 x4  10 Al 2.79-2.88, 2 Ag 2.91


(x)
Al5Ag3 | SCAN | PBEsol geometry

Cell: 5.7669 7.8941 11.4139 Å, 90.00 90.00 90.00°
Last column: nearest neighbours and their distance in Å.
Space group Fmm2 (No. 42)
Unique sites:
Al1 0.0000 0.0000 0.0000 x4  5 Ag 2.77-2.80, 7 Al 2.85-2.88
Al2 0.0000 0.0000 0.2500 x4  6 Al 2.81-2.87, 6 Ag 2.86-2.88
Al3 0.0000 0.0000 0.5014 x4  5 Ag 2.79-2.92, 7 Al 2.86-2.88
Al4 0.2500 0.2500 0.3714 x8  4 Ag 2.77-2.88, 8 Al 2.81-2.88
Ag1 0.0000 0.0000 0.7570 x4  8 Al 2.77-2.92, 4 Ag 2.91
Ag2 0.2500 0.2500 0.1191 x8  8 Al 2.79-2.88, 4 Ag 2.88-2.91


(y)
Al5Ag3 | SCAN | PBEsol geometry

Cell: 4.0038 4.0038 16.1626 Å, 90.00 90.00 90.00°
Last column: nearest neighbours and their distance in Å.
Space group I4mm (No. 107)
Unique sites:
Al1 0.0000 0.0000 0.0000 x2  4 Ag 2.79, 8 Al 2.83-2.88
Al2 0.0000 0.0000 0.2424 x2  8 Ag 2.81-2.84, 4 Al 2.89
Al3 0.0000 0.0000 0.4987 x2  4 Ag 2.81, 8 Al 2.83-2.87
Al4 0.0000 0.5000 0.3717 x4  2 Ag 2.78, 10 Al 2.83-2.89
Ag1 0.0000 0.0000 0.7524 x2  8 Al 2.78-2.84, 4 Ag 2.92
Ag2 0.0000 0.5000 0.1207 x4  6 Al 2.79-2.81, 6 Ag 2.83-2.92


Stability ranking, top entry: (x); the second entry is 1.5 kJ/mol of atoms less favorable.


(w)
Al5Ag3 | SCAN | PBEsol geometry

Cell: 5.7360 7.8339 5.7773 Å, 90.00 90.00 90.00°
Last column: nearest neighbours and their distance in Å.
Space group Cmm2 (No. 35)
Unique sites:
Al1 0.0000 0.0000 0.0000 x2  6 Al 2.82-2.92, 6 Ag 2.84-2.87
Al2 0.0000 0.0000 0.4953 x2  8 Al 2.82-2.92, 4 Ag 2.82
Al3 0.0000 0.5000 0.5180 x2  6 Ag 2.75-2.93, 6 Al 2.87-2.89
Al4 0.2500 0.2500 0.2479 x4  4 Ag 2.75-2.91, 8 Al 2.82-2.89
Ag1 0.0000 0.5000 0.0249 x2  8 Al 2.75-2.93, 4 Ag 2.92
Ag2 0.2500 0.2500 0.7434 x4  8 Al 2.75-2.91, 4 Ag 2.87-2.92


(x)
Al5Ag3 | SCAN | PBEsol geometry

Cell: 4.0011 4.0011 8.1627 Å, 90.00 90.00 90.00°
Last column: nearest neighbours and their distance in Å.
Space group P-4m2 (No. 115)
Unique sites:
Al1 0.0000 0.0000 0.0000 x1  8 Al 2.83-2.88, 4 Ag 2.83
Al2 0.0000 0.0000 0.5000 x1  8 Ag 2.83-2.88, 4 Al 2.84
Al3 0.0000 0.5000 0.2533 x2  6 Ag 2.83-2.84, 6 Al 2.84-2.88
Al4 0.5000 0.5000 0.0000 x1  8 Al 2.83-2.88, 4 Ag 2.83
Ag1 0.0000 0.5000 0.7546 x2  10 Al 2.83-2.88, 2 Ag 2.88
Ag2 0.5000 0.5000 0.5000 x1  8 Al 2.83-2.84, 4 Ag 2.88


Stability ranking, top entry: (w); the second entry is 3.1 kJ/mol of atoms less favorable.


(w)
Al7Ag4 | SCAN | PBEsol geometry

Cell: 18.4696 2.9313 6.7676 Å, 90.00 103.63 90.00°
Last column: nearest neighbours and their distance in Å.
Space group C2/m (No. 12)
Unique sites:
Al1 0.0000 0.0000 0.0000 x2  8 Al 2.76-2.93, 4 Ag 2.79
Al2 0.0447 0.5000 0.3678 x4  11 Al 2.71-2.93, 1 Ag 2.72
Al3 0.0922 0.0000 0.7327 x4  8 Al 2.76-2.93, 4 Ag 2.79-2.81
Al4 0.1817 0.0000 0.4515 x4  5 Ag 2.74-2.78, 7 Al 2.80-2.93
Ag1 0.1325 0.5000 0.0959 x4  7 Al 2.72-2.81, 5 Ag 2.88-2.96
Ag2 0.2243 0.5000 0.8065 x4  5 Al 2.74-2.79, 7 Ag 2.88-2.96


(x)
Al7Ag4 | SCAN | PBEsol geometry

Cell: 14.2485 3.9546 6.5306 Å, 90.00 103.45 90.00°
Last column: nearest neighbours and their distance in Å.
Space group Cm (No. 8)
Unique sites:
Al1 0.0000 0.0000 0.0000 x2  5 Ag 2.77-2.86, 7 Al 2.80-2.99
Al2 0.0426 0.5000 0.7284 x2  3 Ag 2.70-3.01, 9 Al 2.82-3.01
Al3 0.0877 0.0000 0.4562 x2  8 Al 2.76-3.00, 4 Ag 2.79-2.81
Al4 0.1840 0.0000 0.9163 x2  7 Ag 2.80-2.86, 5 Al 2.80-3.00
Al5 0.2702 0.0000 0.3662 x2  5 Al 2.80-2.91, 7 Ag 2.81-2.87
Al6 0.4062 0.5000 0.5392 x2  8 Al 2.76-2.99, 4 Ag 2.78-2.90
Al7 0.4516 0.0000 0.2637 x2  4 Ag 2.77-2.98, 8 Al 2.81-3.01
Ag1 0.1356 0.5000 0.1913 x2  10 Al 2.77-3.01, 2 Ag 2.85-2.90
Ag2 0.2189 0.5000 0.6406 x2  8 Al 2.70-2.90, 4 Ag 2.88-2.98
Ag3 0.3207 0.5000 0.0948 x2  8 Al 2.77-2.87, 4 Ag 2.85-2.98
Ag4 0.3637 0.0000 0.8031 x2  8 Al 2.70-2.98, 4 Ag 2.88-2.91


(y)
Al7Ag4 | SCAN | PBEsol geometry

Cell: 4.8770 6.3683 6.4382 Å, 109.25 103.95 96.97°
Last column: nearest neighbours and their distance in Å.
Space group P-1 (No. 2)
Unique sites:
Al1 0.0000 0.0000 0.0000 x1  4 Ag 2.80-2.81, 8 Al 2.82-2.93
Al2 0.0939 0.8145 0.3647 x2  5 Ag 2.77-2.87, 7 Al 2.83-2.93
Al3 0.1954 0.6386 0.7281 x2  6 Ag 2.78-2.93, 6 Al 2.81-2.91
Al4 0.4549 0.0944 0.8214 x2  4 Ag 2.77-2.89, 8 Al 2.81-2.90
Ag1 0.2674 0.4513 0.0918 x2  8 Al 2.77-2.93, 4 Ag 2.82-2.91
Ag2 0.3478 0.2633 0.4503 x2  9 Al 2.77-2.89, 3 Ag 2.90-2.98


Stability ranking, top entry: (w); the second entry is 2.3 kJ/mol of atoms less favorable.


(w)
Al3Ag5 | SCAN | PBEsol geometry

Cell: 5.7683 5.7683 7.7045 Å, 90.00 90.00 90.00°
Last column: nearest neighbours and their distance in Å.
Space group I4/mmm (No. 139)
Unique sites:
Al1 0.0000 0.0000 0.0000 x2  8 Ag 2.81, 4 Al 2.88
Al2 0.0000 0.5000 0.0000 x4  10 Ag 2.81-2.88, 2 Al 2.88
Ag1 0.0000 0.0000 0.5000 x2  8 Ag 2.81, 4 Al 2.88
Ag2 0.2500 0.2500 0.2500 x8  6 Al 2.81, 6 Ag 2.81-2.88


(x)
Al3Ag5 | SCAN | PBEsol geometry

Cell: 6.1370 6.1370 3.3874 Å, 90.00 90.00 90.00°
Last column: nearest neighbours and their distance in Å.
Space group P4/mmm (No. 123)
Unique sites:
Al1 0.0000 0.0000 0.0000 x1  8 Ag 2.70
Al2 0.0000 0.5000 0.0000 x2  10 Ag 2.75-3.07, 2 Al 3.07
Ag1 0.2420 0.2420 0.5000 x4  6 Al 2.70-2.75, 4 Ag 2.81-2.97
Ag2 0.5000 0.5000 0.0000 x1  8 Ag 2.81, 4 Al 3.07


(y)
Al3Ag5 | SCAN | PBEsol geometry

Cell: 2.8839 2.8839 15.5804 Å, 90.00 90.00 90.00°
Last column: nearest neighbours and their distance in Å.
Space group P4mm (No. 99)
Unique sites:
Al1 0.0000 0.0000 0.0000 x1  8 Ag 2.74, 4 Al 2.88
Al2 0.0000 0.0000 0.4988 x1  4 Ag 2.78, 8 Al 2.83-2.88
Al3 0.5000 0.5000 0.3725 x1  4 Ag 2.78, 8 Al 2.83-2.88
Ag1 0.0000 0.0000 0.2516 x1  4 Al 2.78, 8 Ag 2.88-2.92
Ag2 0.0000 0.0000 0.7514 x1  12 Ag 2.88-2.89
Ag3 0.5000 0.5000 0.1172 x1  4 Al 2.74, 8 Ag 2.88-2.92
Ag4 0.5000 0.5000 0.6201 x1  4 Al 2.78, 8 Ag 2.88-2.89
Ag5 0.5000 0.5000 0.8825 x1  4 Al 2.74, 8 Ag 2.88-2.89


(z)
Al3Ag5 | SCAN | PBEsol geometry

Cell: 12.1021 2.9178 9.3325 Å, 90.00 128.47 90.00°
Last column: nearest neighbours and their distance in Å.
Space group Cm (No. 8)
Unique sites:
Al1 0.0000 0.0000 0.0000 x2  7 Ag 2.72-2.85, 5 Al 2.87-2.92
Al2 0.1282 0.0000 0.3818 x2  7 Ag 2.72-2.89, 5 Al 2.87-2.92
Al3 0.3707 0.0000 0.1279 x2  6 Ag 2.74-2.81, 6 Al 2.87-2.92
Ag1 0.0078 0.5000 0.4977 x2  3 Al 2.72-2.75, 9 Ag 2.88-2.92
Ag2 0.1236 0.5000 0.8797 x2  4 Al 2.78-2.80, 8 Ag 2.78-2.92
Ag3 0.2433 0.5000 0.2480 x2  6 Al 2.77-2.81, 6 Ag 2.78-2.92
Ag4 0.2614 0.0000 0.7677 x2  4 Al 2.72-2.89, 8 Ag 2.84-2.92
Ag5 0.3713 0.5000 0.6197 x2  3 Al 2.75-2.85, 9 Ag 2.78-2.92


Stability ranking, top entry: (x); the second entry is 0.7 kJ/mol of atoms less favorable.


(w)
Al3Ag5 | SCAN | PBEsol geometry

Cell: 5.8130 7.6418 11.5391 Å, 90.00 90.00 90.00°
Last column: nearest neighbours and their distance in Å.
Space group Fmmm (No. 69)
Unique sites:
Al1 0.0000 0.0000 0.0000 x4  10 Ag 2.81-2.91, 2 Al 2.92
Al2 0.0000 0.0000 0.2532 x8  9 Ag 2.77-2.85, 3 Al 2.91-2.92
Ag1 0.0000 0.0000 0.5000 x4  8 Ag 2.81, 4 Al 2.85-2.91
Ag2 0.2500 0.2500 0.1272 x16  6 Al 2.77-2.81, 6 Ag 2.81-2.94


(x)
Al3Ag5 | SCAN | PBEsol geometry

Cell: 4.7879 4.9460 5.7689 Å, 73.16 89.87 78.85°
Last column: nearest neighbours and their distance in Å.
Space group P1 (No. 1)
Unique sites:
Al1 0.0000 0.0000 0.0000 x1  8 Ag 2.74-2.84, 4 Al 2.83-2.94
Al2 0.0025 0.9877 0.5034 x1  9 Ag 2.75-2.96, 3 Al 2.88-2.89
Al3 0.7299 0.4950 0.1277 x1  9 Ag 2.76-2.91, 3 Al 2.83-2.94
Ag1 0.2261 0.4990 0.8811 x1  5 Al 2.77-2.80, 7 Ag 2.78-2.95
Ag2 0.2299 0.5059 0.3682 x1  5 Al 2.75-2.88, 7 Ag 2.78-2.96
Ag3 0.4952 0.9798 0.7560 x1  5 Al 2.75-2.83, 7 Ag 2.82-2.96
Ag4 0.5108 0.9949 0.2518 x1  6 Al 2.75-2.84, 6 Ag 2.87-2.90
Ag5 0.7431 0.4709 0.6293 x1  5 Al 2.74-2.96, 7 Ag 2.78-2.88


Stability ranking, top entry: (x); the second entry is 1.0 kJ/mol of atoms less favorable.